1.
Here is a relaxed Ta2BeCu crystal from Alexandria via LeMat-Bulk. Energies are from GGA-PBE.

## Properties
Calculated formation energy = 0.00 eV/atom
Total energy = -7.88 eV per atom
Volume = 14.23 Å³ per atom

abc: 2.792 2.792 7.306
angles: 90.00 90.00 89.96
Fractional coordinates of all 4 atoms:
Ta: 0.000 0.000 0.971
Ta: 0.500 0.500 0.293
Be: 0.000 0.000 0.536
Cu: 0.500 0.500 0.700



2.
Here is a relaxed YCr2Se crystal from Alexandria via LeMat-Bulk. Energies are from GGA-PBE.

## Properties
Total energy = -7.53 eV per atom
Volume = 18.17 Å³ per atom
Raw formation energy = -0.93 eV/f.u.

abc: 4.015 4.015 5.699
angles: 69.36 69.36 60.03
Fractional coordinates of all 4 atoms:
Se: 0.464 0.464 0.607
Cr: 0.046 0.046 0.861
Cr: 0.739 0.739 0.783
Y: 0.251 0.251 0.248



3.
Here is a relaxed Ag2Mo crystal from Alexandria via LeMat-Bulk. Energies are from GGA-PBE.

## Properties
Calculated formation energy = 0.47 eV/atom
Total energy = -5.04 eV per atom
Volume = 17.17 Å³ per atom
ΔE to the lowest computed polymorph = 78 meV per atom

abc: 5.756 5.756 7.071
angles: 74.66 74.66 27.20
Fractional coordinates of all 6 atoms:
Mo: 0.931 0.931 0.631
Mo: 0.284 0.284 0.934
Ag: 0.006 0.006 0.997
Ag: 0.610 0.610 0.284
Ag: 0.338 0.338 0.328
Ag: 0.663 0.663 0.660



4.
Here is a relaxed USb2Mo crystal from Alexandria via LeMat-Bulk. Energies are from GGA-PBE.

## Properties
Total energy = -7.07 eV per atom
Volume = 22.28 Å³ per atom
Raw formation energy = 2.10 eV/f.u.

abc: 3.082 3.082 10.977
angles: 81.93 81.93 60.00
Fractional coordinates of all 4 atoms:
Sb: 0.915 0.915 0.254
Sb: 0.085 0.085 0.746
Mo: 0.000 0.000 0.000
U: 0.500 0.500 0.500



5.
Here is a relaxed K4PuTa3O12 crystal from Alexandria via LeMat-Bulk. Energies are from GGA-PBE.

## Properties
Total energy = -8.29 eV per atom
Volume = 13.74 Å³ per atom
Raw formation energy = -52.12 eV/f.u.

abc: 7.094 7.094 7.094
angles: 109.47 109.47 109.47
Fractional coordinates of all 20 atoms:
O: 0.250 0.750 0.500
O: 0.741 0.741 0.000
O: 0.500 0.750 0.250
O: 0.259 0.000 0.259
O: 0.741 0.000 0.741
O: 0.750 0.250 0.500
O: 0.250 0.500 0.750
O: 0.000 0.259 0.259
O: 0.750 0.500 0.250
O: 0.000 0.741 0.741
O: 0.500 0.250 0.750
O: 0.259 0.259 0.000
Pu: 0.000 0.000 0.000
K: 0.500 0.500 0.500
K: 0.000 0.000 0.500
K: 0.500 0.000 0.000
K: 0.000 0.500 0.000
Ta: 0.500 0.500 0.000
Ta: 0.500 0.000 0.500
Ta: 0.000 0.500 0.500



6.
Here is a relaxed CaZrPb crystal from Alexandria via LeMat-Bulk. Energies are from GGA-PBE.

## Properties
Calculated formation energy = 0.13 eV/atom
Total energy = -4.62 eV per atom
Volume = 31.12 Å³ per atom

abc: 5.092 5.092 5.092
angles: 60.00 60.00 60.00
Fractional coordinates of all 3 atoms:
Pb: 0.750 0.750 0.750
Ca: 0.500 0.500 0.500
Zr: 0.000 0.000 0.000



7.
Here is a relaxed Zn6PdAu5 crystal from Alexandria via LeMat-Bulk. Energies are from GGA-PBE.

## Properties
Calculated formation energy = -0.26 eV/atom
Total energy = -2.70 eV per atom
Volume = 15.93 Å³ per atom
ΔE to the lowest computed polymorph = 11 meV per atom

abc: 7.806 4.447 7.028
angles: 71.56 79.73 55.71
Fractional coordinates of all 12 atoms:
Au: 0.000 0.665 0.670
Au: 0.500 0.170 0.659
Au: 0.000 0.335 0.330
Au: 0.500 0.500 0.000
Au: 0.500 0.830 0.341
Zn: 0.755 0.081 0.325
Zn: 0.754 0.746 0.000
Zn: 0.755 0.407 0.675
Zn: 0.245 0.593 0.325
Zn: 0.246 0.254 0.000
Zn: 0.245 0.919 0.675
Pd: 0.000 0.000 0.000



8.
Here is a relaxed K2Ce2PdSe6 crystal from Alexandria via LeMat-Bulk. Energies are from GGA-PBE.

## Properties
Total energy = -4.89 eV per atom
Volume = 31.21 Å³ per atom
Raw formation energy = -13.66 eV/f.u.

abc: 7.053 7.053 8.213
angles: 98.01 98.01 119.09
Fractional coordinates of all 11 atoms:
Pd: 0.000 0.000 0.500
Se: 0.925 0.602 0.296
Se: 0.398 0.075 0.704
Se: 0.763 0.763 0.683
Se: 0.075 0.398 0.704
Se: 0.602 0.925 0.296
Se: 0.237 0.237 0.317
Ce: 0.328 0.672 0.500
Ce: 0.672 0.328 0.500
K: 0.165 0.835 0.000
K: 0.835 0.165 0.000



9.
Here is a relaxed PmHoTePb crystal from Alexandria via LeMat-Bulk. Energies are from GGA-PBE.

## Properties
Total energy = -5.00 eV per atom
Volume = 31.43 Å³ per atom
Raw formation energy = -3.83 eV/f.u.

abc: 4.462 4.462 7.732
angles: 73.23 73.23 60.00
Fractional coordinates of all 4 atoms:
Te: 0.691 0.691 0.926
Pb: 0.197 0.197 0.410
Pm: 0.447 0.447 0.659
Ho: 0.941 0.941 0.176



10.
Here is a relaxed Cs3Ac3CeSe8 crystal from Alexandria via LeMat-Bulk. Energies are from GGA-PBE.

## Properties
Total energy = -5.02 eV per atom
Volume = 40.82 Å³ per atom
Raw formation energy = -26.67 eV/f.u.

abc: 9.103 9.104 10.022
angles: 117.02 90.00 120.00
Fractional coordinates of all 15 atoms:
Se: 0.217 0.434 0.684
Se: 0.783 0.566 0.316
Se: 0.750 0.967 0.683
Se: 0.250 0.033 0.317
Se: 0.217 0.967 0.683
Se: 0.268 0.535 0.304
Se: 0.783 0.033 0.317
Se: 0.732 0.465 0.696
Cs: 0.000 0.000 0.000
Cs: 0.500 0.500 0.000
Cs: 0.000 0.500 0.000
Ac: 0.000 0.500 0.500
Ac: 0.500 0.000 0.500
Ac: 0.500 0.500 0.500
Ce: 0.000 0.000 0.500



11.
Here is a relaxed PmH8IrPt2 crystal from Alexandria via LeMat-Bulk. Energies are from GGA-PBE.

## Properties
Total energy = -4.59 eV per atom
Volume = 10.14 Å³ per atom

abc: 4.590 4.499 6.178
angles: 79.51 80.74 78.08
Fractional coordinates of all 12 atoms:
H: 0.540 0.702 0.559
H: 0.186 0.711 0.853
H: 0.265 0.225 0.984
H: 0.460 0.298 0.441
H: 0.743 0.205 0.828
H: 0.814 0.289 0.147
H: 0.257 0.795 0.172
H: 0.735 0.775 0.016
Pm: 0.000 0.000 0.500
Pt: 0.635 0.614 0.292
Pt: 0.365 0.386 0.708
Ir: 0.000 0.000 0.000



12.
Here is a relaxed LiMgSCl2 crystal from Alexandria via LeMat-Bulk. Energies are from GGA-PBE.

## Properties
Total energy = -2.93 eV per atom
Volume = 20.28 Å³ per atom
ΔE to the lowest computed polymorph = 347 meV per atom
Raw formation energy = -3.32 eV/f.u.

abc: 4.496 4.496 5.018
angles: 90.00 90.00 90.00
Fractional coordinates of all 5 atoms:
Mg: 0.500 0.500 0.500
Cl: 0.500 0.000 0.000
Cl: 0.000 0.500 0.000
S: 0.000 0.000 0.500
Li: 0.000 0.000 0.000



13.
Here is a relaxed La3InCo crystal from Alexandria via LeMat-Bulk. Energies are from GGA-PBE.

## Properties
Calculated formation energy = 0.02 eV/atom
Total energy = -4.90 eV per atom
Volume = 35.64 Å³ per atom
ΔE to the lowest computed polymorph = 316 meV per atom

abc: 5.179 5.179 15.342
angles: 90.00 90.00 120.00
Fractional coordinates of all 10 atoms:
La: 0.000 0.000 0.250
La: 0.667 0.333 0.411
La: 0.333 0.667 0.589
La: 0.333 0.667 0.911
La: 0.667 0.333 0.089
La: 0.000 0.000 0.750
Co: 0.667 0.333 0.250
Co: 0.333 0.667 0.750
In: 0.000 0.000 0.000
In: 0.000 0.000 0.500



14.
Here is a relaxed Dy6Tl2Tc crystal from Alexandria via LeMat-Bulk. Energies are from GGA-PBE.

## Properties
Calculated formation energy = -0.23 eV/atom
Total energy = -4.98 eV per atom
Volume = 27.77 Å³ per atom

abc: 3.912 8.589 8.589
angles: 120.00 90.00 90.00
Fractional coordinates of all 9 atoms:
Tl: 0.000 0.333 0.666
Tl: 0.000 0.667 0.334
Dy: 0.500 0.000 0.614
Dy: 0.000 0.000 0.241
Dy: 0.500 0.614 0.000
Dy: 0.000 0.759 0.759
Dy: 0.500 0.386 0.386
Dy: 0.000 0.241 0.000
Tc: 0.500 0.001 0.000



15.
Here is a relaxed PrNdAlSn crystal from Alexandria via LeMat-Bulk. Energies are from GGA-PBE.

## Properties
Calculated formation energy = -0.44 eV/atom
Total energy = -4.77 eV per atom
Volume = 28.16 Å³ per atom
ΔE to the lowest computed polymorph = 162 meV per atom

abc: 5.421 5.421 5.421
angles: 60.00 60.00 60.00
Fractional coordinates of all 4 atoms:
Al: 0.250 0.250 0.250
Sn: 0.750 0.750 0.750
Pr: 0.000 0.000 0.000
Nd: 0.500 0.500 0.500



16.
Here is a relaxed Ac2Y5Ho6 crystal from Alexandria via LeMat-Bulk. Energies are from GGA-PBE.

## Properties
Calculated formation energy = 0.12 eV/atom
Total energy = -5.11 eV per atom
Volume = 34.07 Å³ per atom

abc: 3.650 11.900 20.393
angles: 90.00 90.00 90.00
Fractional coordinates of all 26 atoms:
Y: 0.500 0.700 0.554
Y: 0.500 0.500 0.000
Y: 0.500 0.300 0.446
Y: 0.500 0.098 0.216
Y: 0.500 0.598 0.284
Y: 0.500 0.000 0.500
Y: 0.500 0.200 0.946
Y: 0.500 0.402 0.716
Y: 0.500 0.902 0.784
Y: 0.500 0.800 0.054
Ho: 0.000 0.573 0.139
Ho: 0.000 0.939 0.926
Ho: 0.500 0.318 0.119
Ho: 0.000 0.561 0.426
Ho: 0.500 0.818 0.381
Ho: 0.000 0.427 0.861
Ho: 0.000 0.439 0.574
Ho: 0.000 0.073 0.361
Ho: 0.500 0.182 0.619
Ho: 0.000 0.061 0.074
Ho: 0.000 0.927 0.639
Ho: 0.500 0.682 0.881
Ac: 0.000 0.163 0.777
Ac: 0.000 0.663 0.723
Ac: 0.000 0.337 0.277
Ac: 0.000 0.837 0.223



17.
Here is a relaxed TiPd6Au5 crystal from Alexandria via LeMat-Bulk. Energies are from GGA-PBE.

## Properties
Calculated formation energy = -0.28 eV/atom
Total energy = -4.90 eV per atom
Volume = 16.38 Å³ per atom

abc: 4.095 7.859 6.442
angles: 90.00 71.47 90.00
Fractional coordinates of all 12 atoms:
Ti: 0.000 0.000 0.000
Au: 0.334 0.500 0.332
Au: 0.000 0.500 0.000
Au: 0.665 0.000 0.670
Au: 0.335 0.000 0.330
Au: 0.666 0.500 0.668
Pd: 0.500 0.763 0.000
Pd: 0.837 0.243 0.325
Pd: 0.163 0.243 0.675
Pd: 0.837 0.757 0.325
Pd: 0.500 0.237 0.000
Pd: 0.163 0.757 0.675